[1]
SrMnCo2 | PBE | optimized geometry

Cell lengths 3.2536, 3.2809, 6.7400 Å; angles 90.00, 90.00, 90.00 degrees
Space group Pmmm (No. 47)
One atom of each set of equivalent atoms:
Sr 0.0000 0.0000 0.0000 x1
Mn 0.0000 0.0000 0.5000 x1
Co 0.5000 0.5000 0.3343 x2

Results
- formation enthalpy at 0 K (meV/atom) = 456.4
- magnetic moment (μB/atom) = 1.6014


[2]
Sr2MnCo | PBE | optimized geometry

Cell lengths 3.9556, 4.7291, 12.6434 Å; angles 90.00, 90.00, 90.00 degrees
Space group Imm2 (No. 44)
One atom of each set of equivalent atoms:
Sr 0.0000 0.0000 0.0000 x2
Sr 0.0000 0.5000 0.2392 x2
Mn 0.0000 0.0000 0.4228 x2
Co 0.0000 0.5000 0.8274 x2

Results
- formation enthalpy at 0 K (meV/atom) = 428.1
- magnetic moment (μB/atom) = 1.1116


[3]
SrMnCo2Tc | PBE | optimized geometry

Cell lengths 4.2925, 4.2925, 4.9687 Å; angles 90.00, 90.00, 90.00 degrees
Space group P4/mmm (No. 123)
One atom of each set of equivalent atoms:
Sr 0.0000 0.0000 0.0000 x1
Mn 0.0000 0.0000 0.5000 x1
Co 0.0000 0.5000 0.5000 x2
Tc 0.5000 0.5000 0.0000 x1

Results
- formation enthalpy at 0 K (meV/atom) = 1599.3
- magnetic moment (μB/atom) = 0.9946


[4]
SrMn2CoW | PBE | optimized geometry

Cell lengths 4.6435, 4.6435, 5.7930 Å; angles 90.00, 90.00, 90.00 degrees
Space group P4/mmm (No. 123)
One atom of each set of equivalent atoms:
Sr 0.0000 0.0000 0.0000 x1
Mn 0.0000 0.5000 0.5000 x2
Co 0.5000 0.5000 0.0000 x1
W 0.0000 0.0000 0.5000 x1

Results
- formation enthalpy at 0 K (meV/atom) = 1709.4
- magnetic moment (μB/atom) = 1.3877


[5]
SrYMn2Co | PBE | optimized geometry

Cell lengths 4.9456, 4.9456, 4.8955 Å; angles 90.00, 90.00, 90.00 degrees
Space group P4/mmm (No. 123)
One atom of each set of equivalent atoms:
Sr 0.0000 0.0000 0.0000 x1
Y 0.5000 0.5000 0.0000 x1
Mn 0.0000 0.5000 0.5000 x2
Co 0.5000 0.5000 0.5000 x1

Results
- formation enthalpy at 0 K (meV/atom) = 385.0
- magnetic moment (μB/atom) = 1.6782


[6]
SrMnZn2Co | PBE | optimized geometry

Cell lengths 4.7757, 4.7757, 5.5226 Å; angles 90.00, 90.00, 90.00 degrees
Space group P4/mmm (No. 123)
One atom of each set of equivalent atoms:
Sr 0.0000 0.0000 0.0000 x1
Mn 0.0000 0.0000 0.5000 x1
Zn 0.0000 0.5000 0.5000 x2
Co 0.5000 0.5000 0.0000 x1

Results
- formation enthalpy at 0 K (meV/atom) = 977.3
- magnetic moment (μB/atom) = 1.0342


[7]
TaMn3Co | PBE | optimized geometry

Cell lengths 4.4342, 4.4342, 4.4342 Å; angles 90.00, 90.00, 90.00 degrees
Space group Pm-3m (No. 221)
One atom of each set of equivalent atoms:
Ta 0.0000 0.0000 0.0000 x1
Mn 0.0000 0.0000 0.5000 x3
Co 0.5000 0.5000 0.5000 x1

Results
- formation enthalpy at 0 K (meV/atom) = 2057.2
- magnetic moment (μB/atom) = 0.5114


[8]
TaMn2Co | PBE | optimized geometry

Cell lengths 3.0578, 4.0903, 4.1863 Å; angles 90.00, 90.00, 90.00 degrees
Space group Pmmm (No. 47)
One atom of each set of equivalent atoms:
Ta 0.0000 0.0000 0.0000 x1
Mn 0.0000 0.5000 0.5000 x1
Mn 0.5000 0.5000 0.0000 x1
Co 0.5000 0.0000 0.5000 x1

Results
- formation enthalpy at 0 K (meV/atom) = -64.4
- magnetic moment (μB/atom) = 0.9890